! LaSb3W, relaxed, DFT PBE; values from VASP
&SYSTEM
  ibrav = 0, nat = 5, ntyp = 3
/
ATOMIC_SPECIES
La 138.91 La.upf
W 183.84 W.upf
Sb 121.76 Sb.upf
ATOMIC_POSITIONS crystal
La 0.000 0.000 0.000
W 0.500 0.500 0.500
Sb 0.000 0.000 0.500
Sb 0.500 0.000 0.000
Sb 0.000 0.500 0.000
CELL_PARAMETERS angstrom
5.937 0.000 0.000
0.000 5.937 0.000
0.000 0.000 5.937
! Formation energy without anion corrections ... 1731 meV per atom
! Symmetry ... Pm-3m, No. 221
! Electronic total energy ... -21.59 eV/cell
! Excess energy over the best structure of this formula in the dataset ... 1547 meV per atom



! Ag2AsPt, relaxed, DFT PBE; values from VASP
&SYSTEM
  ibrav = 0, nat = 4, ntyp = 3
/
ATOMIC_SPECIES
Ag 107.87 Ag.upf
As 74.92 As.upf
Pt 195.08 Pt.upf
ATOMIC_POSITIONS crystal
Ag 0.000 0.000 0.000
Ag 0.500 0.500 0.000
As 0.250 0.750 0.500
Pt 0.750 0.250 0.500
CELL_PARAMETERS angstrom
5.265 0.000 0.000
2.332 4.721 0.000
-3.798 -2.360 2.779
! Symmetry ... I4/mmm, No. 139
! Electronic total energy ... -16.13 eV/cell
! E_form ... 66.3 meV per atom



! La6Pr2Y3, relaxed, DFT PBE; values from VASP
&SYSTEM
  ibrav = 0, nat = 11, ntyp = 3
/
ATOMIC_SPECIES
La 138.91 La.upf
Pr 140.91 Pr.upf
Y 88.91 Y.upf
ATOMIC_POSITIONS crystal
La 0.728 0.093 0.818
La 0.908 0.364 0.272
La 0.185 0.276 0.454
La 0.815 0.724 0.546
La 0.272 0.907 0.182
La 0.092 0.636 0.728
Pr 0.640 0.458 0.090
Pr 0.360 0.542 0.910
Y 0.452 0.181 0.638
Y 0.000 0.000 0.000
Y 0.548 0.819 0.362
CELL_PARAMETERS angstrom
5.273 -2.702 2.315
-2.408 9.285 1.808
3.230 5.005 12.995
! Symmetry ... P-1, No. 2
! Electronic total energy ... -58.31 eV/cell
! E_form ... 19.1 meV per atom



! GeTe2Pd, relaxed, DFT PBE; values from VASP
&SYSTEM
  ibrav = 0, nat = 8, ntyp = 3
/
ATOMIC_SPECIES
Te 127.60 Te.upf
Ge 72.64 Ge.upf
Pd 106.42 Pd.upf
ATOMIC_POSITIONS crystal
Te 0.547 0.093 0.723
Te 0.323 0.646 0.874
Te 0.677 0.354 0.126
Te 0.453 0.907 0.277
Ge 0.317 0.634 0.522
Ge 0.683 0.366 0.478
Pd 0.107 0.213 0.930
Pd 0.893 0.787 0.070
CELL_PARAMETERS angstrom
-0.198 3.069 -2.756
1.424 -5.394 -3.015
-8.676 -0.337 0.249
! Formation energy without anion corrections ... -101 meV per atom
! Symmetry ... C2/m, No. 12
! Electronic total energy ... -32.99 eV/cell



! SBrO2F, relaxed, DFT PBE; values from VASP
&SYSTEM
  ibrav = 0, nat = 5, ntyp = 4
/
ATOMIC_SPECIES
O 16.00 O.upf
S 32.06 S.upf
Br 79.90 Br.upf
F 19.00 F.upf
ATOMIC_POSITIONS crystal
O 0.000 0.500 0.000
O 0.500 0.000 0.000
S 0.000 0.000 0.000
Br 0.500 0.500 0.500
F 0.000 0.000 0.500
CELL_PARAMETERS angstrom
3.473 0.000 0.000
0.000 3.473 0.000
0.000 0.000 6.956
! Formation energy without anion corrections ... 84 meV per atom
! Symmetry ... P4/mmm, No. 123
! Electronic total energy ... -17.17 eV/cell



| no. | magnetic moment (μB/cell) |
| --- | --- |
| 1 | 4.3 |
| 2 | 0.0 |
| 3 | 0.0 |
| 4 | 0.0 |
| 5 | 0.0 |